# Sc3PdPb2 PBE-GGA optimized geometry
data_Sc3PdPb2
_chemical_formula_sum 'Sc12 Pd4 Pb8'
_space_group_name_H-M_alt 'P 1'
_space_group_IT_number 1
_space_group_name_Hall 'P 1'
_cell_length_a 11.766
_cell_length_b 4.478
_cell_length_c 10.613
_cell_angle_alpha 90.00
_cell_angle_beta 90.00
_cell_angle_gamma 90.00
loop_
_atom_site_label
_atom_site_type_symbol
_atom_site_fract_x
_atom_site_fract_y
_atom_site_fract_z
Sc1 Sc 0.060 0.250 0.140
Sc2 Sc 0.144 0.750 0.565
Sc3 Sc 0.249 0.250 0.793
Sc4 Sc 0.251 0.750 0.293
Sc5 Sc 0.356 0.250 0.065
Sc6 Sc 0.440 0.750 0.640
Sc7 Sc 0.560 0.250 0.360
Sc8 Sc 0.644 0.750 0.935
Sc9 Sc 0.749 0.250 0.707
Sc10 Sc 0.751 0.750 0.207
Sc11 Sc 0.856 0.250 0.435
Sc12 Sc 0.940 0.750 0.860
Pd1 Pd 0.112 0.250 0.396
Pd2 Pd 0.388 0.750 0.896
Pd3 Pd 0.612 0.250 0.104
Pd4 Pd 0.888 0.750 0.604
Pb1 Pb 0.014 0.250 0.685
Pb2 Pb 0.171 0.750 0.999
Pb3 Pb 0.329 0.250 0.499
Pb4 Pb 0.486 0.750 0.185
Pb5 Pb 0.514 0.250 0.815
Pb6 Pb 0.671 0.750 0.501
Pb7 Pb 0.829 0.250 0.001
Pb8 Pb 0.986 0.750 0.315
# energy relative to the elements: -508 meV/atom
# volume: 23.300 Å³ per atom
# DFT total energy: -138.61 eV for the cell shown
# magnetization: 0.00 μB/f.u.
# crystal system: orthorhombic


# CrTcSn3 PBE-GGA optimized geometry
data_CrTcSn3
_chemical_formula_sum 'Cr1 Tc1 Sn3'
_space_group_name_H-M_alt 'P 1'
_space_group_IT_number 1
_space_group_name_Hall 'P 1'
_cell_length_a 4.994
_cell_length_b 4.994
_cell_length_c 4.994
_cell_angle_alpha 90.00
_cell_angle_beta 90.00
_cell_angle_gamma 90.00
loop_
_atom_site_label
_atom_site_type_symbol
_atom_site_fract_x
_atom_site_fract_y
_atom_site_fract_z
Cr1 Cr 0.000 0.000 0.000
Tc1 Tc 0.500 0.500 0.500
Sn1 Sn 0.000 0.000 0.500
Sn2 Sn 0.000 0.500 0.000
Sn3 Sn 0.500 0.000 0.000
# energy relative to the elements: 972 meV/atom
# volume: 24.903 Å³ per atom
# DFT total energy: -27.14 eV for the cell shown
# magnetization: 4.87 μB/f.u.
# crystal system: cubic


# TbTmNiPd PBE-GGA optimized geometry
data_TbTmNiPd
_chemical_formula_sum 'Tb2 Tm2 Ni2 Pd2'
_space_group_name_H-M_alt 'P 1'
_space_group_IT_number 1
_space_group_name_Hall 'P 1'
_cell_length_a 4.371
_cell_length_b 3.750
_cell_length_c 10.275
_cell_angle_alpha 90.00
_cell_angle_beta 90.00
_cell_angle_gamma 90.00
loop_
_atom_site_label
_atom_site_type_symbol
_atom_site_fract_x
_atom_site_fract_y
_atom_site_fract_z
Tb1 Tb 0.000 0.000 0.000
Tb2 Tb 0.000 0.500 0.500
Tm1 Tm 0.500 0.000 0.279
Tm2 Tm 0.500 0.500 0.779
Ni1 Ni 0.000 0.000 0.723
Ni2 Ni 0.000 0.500 0.223
Pd1 Pd 0.500 0.000 0.563
Pd2 Pd 0.500 0.500 0.063
# energy relative to the elements: -681 meV/atom
# volume: 21.053 Å³ per atom
# DFT total energy: -45.60 eV for the cell shown
# magnetization: 0.00 μB/f.u.
# crystal system: orthorhombic


# Ac3Cd9Ga2 PBE-GGA optimized geometry
data_Ac3Cd9Ga2
_chemical_formula_sum 'Ac3 Cd9 Ga2'
_space_group_name_H-M_alt 'P 1'
_space_group_IT_number 1
_space_group_name_Hall 'P 1'
_cell_length_a 9.112
_cell_length_b 9.112
_cell_length_c 9.112
_cell_angle_alpha 148.18
_cell_angle_beta 109.17
_cell_angle_gamma 79.74
loop_
_atom_site_label
_atom_site_type_symbol
_atom_site_fract_x
_atom_site_fract_y
_atom_site_fract_z
Ac1 Ac 0.000 0.000 0.000
Ac2 Ac 0.307 0.307 0.000
Ac3 Ac 0.693 0.693 0.000
Cd1 Cd 0.019 0.655 0.364
Cd2 Cd 0.141 0.861 0.280
Cd3 Cd 0.290 0.655 0.636
Cd4 Cd 0.419 0.139 0.280
Cd5 Cd 0.500 0.000 0.500
Cd6 Cd 0.581 0.861 0.720
Cd7 Cd 0.710 0.345 0.364
Cd8 Cd 0.859 0.139 0.720
Cd9 Cd 0.981 0.345 0.636
Ga1 Ga 0.305 0.500 0.805
Ga2 Ga 0.695 0.500 0.195
# energy relative to the elements: -291 meV/atom
# volume: 26.350 Å³ per atom
# DFT total energy: -30.68 eV for the cell shown
# magnetization: 0.00 μB/f.u.
# crystal system: orthorhombic